This record from Alexandria describes crystalline CsAcSnO3 at its relaxed geometry. The functional is GGA-PBE.

Calculated values
For the volume, the calculation gives 317 Å³ per cell. For the formation energy without anion corrections, the calculation gives -2.10 eV per atom. The total energy is -6.0707 eV per atom.

abc: 7.4291 3.7701 11.5548
angles: 90.00 101.43 90.00
Sites, in units of the cell vectors:
Cs  0.2284  0.2500  0.2623
Cs  0.7716  0.7500  0.7377
Ac  0.3417  0.7500  0.8735
Ac  0.6583  0.2500  0.1265
Sn  0.2031  0.2500  0.6057
Sn  0.7969  0.7500  0.3943
O  0.1282  0.2500  0.7720
O  0.3589  0.7500  0.6554
O  0.4379  0.7500  0.0938
O  0.5621  0.2500  0.9062
O  0.6411  0.2500  0.3446
O  0.8718  0.7500  0.2280



This record from Alexandria describes crystalline YTeMo2 at its relaxed geometry. The functional is GGA-PBE.

Calculated values
For the volume, the calculation gives 88 Å³ per cell. For the formation energy without anion corrections, the calculation gives 0.21 eV per atom. The total energy is -7.6091 eV per atom.

abc: 9.1045 9.1045 9.1045
angles: 21.36 21.36 21.36
Sites, in units of the cell vectors:
Y  0.0000  0.0000  0.0000
Te  0.7653  0.7653  0.7653
Mo  0.2436  0.2436  0.2436
Mo  0.5155  0.5155  0.5155



This record from Alexandria describes crystalline Tb2GeH2 at its relaxed geometry. The functional is GGA-PBE.

Calculated values
For the volume, the calculation gives 81 Å³ per cell. The total energy is -4.8468 eV per atom.

abc: 3.6831 3.6831 6.4983
angles: 106.06 106.06 90.84
Sites, in units of the cell vectors:
Tb  0.1420  0.1420  0.2817
Tb  0.8580  0.8580  0.7183
Ge  0.5000  0.5000  0.0000
H  0.2501  0.7499  0.5000
H  0.7499  0.2501  0.5000



This record from Alexandria describes crystalline Dy2MgTc at its relaxed geometry. The functional is GGA-PBE.

Calculated values
For the volume, the calculation gives 91 Å³ per cell. The total energy is -5.2190 eV per atom.

abc: 4.9093 4.9093 3.7586
angles: 90.00 90.00 90.00
Sites, in units of the cell vectors:
Dy  0.0000  0.5000  0.0000
Dy  0.5000  0.0000  0.0000
Mg  0.0000  0.0000  0.5000
Tc  0.5000  0.5000  0.5000